No. 1
The following is a DFT calculation (GGA-PBEsol) of CuHg2Pb after structural relaxation.

Cell: 3.378 3.378 26.510 Å, 90.00 90.00 120.00°
Positions (direct):
1 Cu 0.000 0.000 0.000
2 Cu 0.333 0.667 0.667
3 Cu 0.667 0.333 0.333
4 Hg 0.000 0.000 0.265
5 Hg 0.000 0.000 0.735
6 Hg 0.333 0.667 0.401
7 Hg 0.333 0.667 0.932
8 Hg 0.667 0.333 0.068
9 Hg 0.667 0.333 0.599
10 Pb 0.000 0.000 0.500
11 Pb 0.333 0.667 0.167
12 Pb 0.667 0.333 0.833

space-group type = R-3m (166)

No. 2
The following is a DFT calculation (GGA-PBEsol) of CuHg2Pb after structural relaxation.

Cell: 9.481 3.358 6.304 Å, 90.00 116.34 90.00°
Positions (direct):
1 Cu 0.000 0.000 0.000
2 Cu 0.500 0.500 0.000
3 Hg 0.287 0.000 0.018
4 Hg 0.489 0.000 0.664
5 Hg 0.787 0.500 0.018
6 Hg 0.989 0.500 0.664
7 Pb 0.172 0.500 0.384
8 Pb 0.672 0.000 0.384

space-group type = Cm (8)

No. 3
The following is a DFT calculation (GGA-PBEsol) of Cu2HgPb after structural relaxation.

Cell: 4.047 3.555 10.065 Å, 90.00 90.00 90.00°
Positions (direct):
1 Cu 0.000 0.000 0.000
2 Cu 0.000 0.500 0.500
3 Cu 0.500 0.000 0.144
4 Cu 0.500 0.500 0.644
5 Hg 0.500 0.000 0.430
6 Hg 0.500 0.500 0.930
7 Pb 0.000 0.000 0.728
8 Pb 0.000 0.500 0.228

space-group type = Amm2 (38)

No. 4
The following is a DFT calculation (GGA-PBEsol) of CuReHgPd2 after structural relaxation.

Cell: 4.894 4.894 4.560 Å, 90.00 90.00 90.00°
Positions (direct):
1 Cu 0.000 0.000 0.000
2 Re 0.500 0.500 0.000
3 Hg 0.000 0.000 0.500
4 Pd 0.000 0.500 0.500
5 Pd 0.500 0.000 0.500

space-group type = P4/mmm (123)

No. 5
The following is a DFT calculation (GGA-PBEsol) of CuHg2Pt after structural relaxation.

Cell: 4.189 4.189 3.798 Å, 90.00 90.00 90.00°
Positions (direct):
1 Cu 0.000 0.000 0.000
2 Hg 0.000 0.500 0.500
3 Hg 0.500 0.000 0.500
4 Pt 0.500 0.500 0.000

space-group type = P4/mmm (123)
energy above the lowest structure with this stoichiometry = 0.000 eV/atom

No. 6
The following is a DFT calculation (GGA-PBEsol) of CuHg2Pt after structural relaxation.

Cell: 3.003 3.003 26.005 Å, 90.00 90.00 120.00°
Positions (direct):
1 Cu 0.000 0.000 0.000
2 Cu 0.333 0.667 0.667
3 Cu 0.667 0.333 0.333
4 Hg 0.000 0.000 0.254
5 Hg 0.000 0.000 0.746
6 Hg 0.333 0.667 0.413
7 Hg 0.333 0.667 0.920
8 Hg 0.667 0.333 0.080
9 Hg 0.667 0.333 0.587
10 Pt 0.000 0.000 0.500
11 Pt 0.333 0.667 0.167
12 Pt 0.667 0.333 0.833

space-group type = R-3m (166)
energy above the lowest structure with this stoichiometry = 0.069 eV/atom

What uncorrected energy values result from the calculations? In sequence: -2.22; -2.23; -3.13; -4.08; -3.04; -2.97 eV per atom.
What ΔE_f values result from the calculations? In sequence: 0.150; 0.135; 0.176; 1.948; 0.064; 0.134 eV/atom.